1.
DFT (PBE) results for crystalline Cs3BeBr6 at its relaxed geometry.

The formation energy without anion corrections is -1.187 eV/atom. The calculation puts the energy at -2.82 eV per atom.

Cell lengths 8.3140, 8.3140, 8.3145 Å; angles 60.00, 60.00, 90.00 degrees
Last column: magnetic moment on the atom in μB.
Fractional positions:
Br  0.2918  0.2918  0.0000  0.12
Br  0.7083  0.7083  0.5834  0.12
Br  0.2917  0.2917  0.4166  0.12
Br  0.7082  0.2918  0.0000  0.12
Br  0.7082  0.7082  0.0000  0.12
Br  0.2918  0.7082  0.0000  0.12
Be  0.5000  0.5000  0.0000  0.00
Cs  0.7500  0.2500  0.5000  0.00
Cs  0.2500  0.7500  0.5000  0.00
Cs  0.0000  0.0000  0.0000  0.00

2.
DFT (PBE) results for crystalline Li2YCo at its relaxed geometry.

The energy above the lowest structure with this stoichiometry is 116 meV per atom. The calculation puts the energy at -4.14 eV per atom. The formation energy comes out at 0.207 eV per atom.

Cell lengths 3.7755, 3.7755, 10.8412 Å; angles 79.97, 79.97, 90.00 degrees
Fractional positions:
Y  0.7500  0.2500  0.5000
Y  0.0000  0.0000  0.0000
Co  0.5000  0.5000  0.0000
Co  0.2500  0.7500  0.5000
Li  0.3750  0.8254  0.7500
Li  0.8750  0.4246  0.7500
Li  0.1746  0.1250  0.2500
Li  0.5754  0.6250  0.2500

3.
DFT (PBE) results for crystalline CsAg4Pb3I12 at its relaxed geometry.

The formation energy without anion corrections is -0.476 eV/atom. The calculation puts the energy at -2.58 eV per atom.

Cell lengths 10.5330, 10.5330, 10.5330 Å; angles 106.37, 106.37, 106.37 degrees
Fractional positions:
I  0.2468  0.3557  0.9909
I  0.9909  0.2468  0.3557
I  0.0878  0.9122  0.5000
I  0.0091  0.6443  0.7532
I  0.6443  0.7532  0.0091
I  0.9122  0.5000  0.0878
I  0.6626  0.5000  0.3374
I  0.3557  0.9909  0.2468
I  0.3374  0.6626  0.5000
I  0.7532  0.0091  0.6443
I  0.5000  0.3374  0.6626
I  0.5000  0.0878  0.9122
Ag  0.5000  0.9185  0.0815
Ag  0.5000  0.5000  0.5000
Ag  0.0815  0.5000  0.9185
Ag  0.9185  0.0815  0.5000
Pb  0.5658  0.4342  0.0000
Pb  0.4342  0.0000  0.5658
Pb  0.0000  0.5658  0.4342
Cs  0.0000  0.0000  0.0000

4.
DFT (PBE) results for crystalline CdHgSBr at its relaxed geometry.

The formation energy without anion corrections is -0.256 eV/atom. The calculation puts the energy at -2.01 eV per atom.

Cell lengths 9.9460, 9.9460, 5.5079 Å; angles 90.00, 90.00, 121.60 degrees
Fractional positions:
Cd  0.1130  0.4001  0.0000
Cd  0.8870  0.5999  0.0000
Cd  0.4001  0.1130  0.0000
Cd  0.5999  0.8870  0.0000
Hg  0.1235  0.8765  0.5000
Hg  0.6431  0.6431  0.5000
Hg  0.3569  0.3569  0.5000
Hg  0.8765  0.1235  0.5000
Br  0.5000  0.5000  0.0000
Br  0.0000  0.0000  0.0000
Br  0.2523  0.7477  0.0000
Br  0.7477  0.2523  0.0000
S  0.8899  0.6204  0.5000
S  0.1101  0.3796  0.5000
S  0.6204  0.8899  0.5000
S  0.3796  0.1101  0.5000

5.
DFT (PBE) results for crystalline NaPm2Nd at its relaxed geometry.

The energy above the lowest structure with this stoichiometry is 2 meV per atom. The calculation puts the energy at -3.79 eV per atom. The formation energy comes out at 0.111 eV per atom.

Cell lengths 3.6457, 3.6457, 12.4771 Å; angles 81.60, 81.60, 60.00 degrees
Fractional positions:
Na  0.6667  0.6667  0.9999
Pm  0.0864  0.0864  0.7407
Pm  0.2469  0.2469  0.2593
Nd  0.5000  0.5000  0.5001